Entry 1:
# Sc4Ge2H, relaxed, DFT GGA-PBE
data_Sc4Ge2H
_chemical_formula_sum 'Sc8 Ge4 H2'
_symmetry_space_group_name_H-M 'P 1'
_symmetry_Int_Tables_number 1
_symmetry_space_group_name_Hall 'P 1'
_cell_length_a 4.1145
_cell_length_b 4.1145
_cell_length_c 14.8537
_cell_angle_alpha 90.00
_cell_angle_beta 90.00
_cell_angle_gamma 90.00
loop_
_atom_site_label
_atom_site_fract_x
_atom_site_fract_y
_atom_site_fract_z
Sc1 0.0000 0.0000 0.1782
Sc2 0.0000 0.0000 0.8218
Sc3 0.0000 0.5000 0.0000
Sc4 0.0000 0.5000 0.5000
Sc5 0.5000 0.0000 0.0000
Sc6 0.5000 0.0000 0.5000
Sc7 0.5000 0.5000 0.3218
Sc8 0.5000 0.5000 0.6782
Ge1 0.0000 0.0000 0.3642
Ge2 0.0000 0.0000 0.6358
Ge3 0.5000 0.5000 0.1358
Ge4 0.5000 0.5000 0.8642
H1 0.0000 0.0000 0.0000
H2 0.5000 0.5000 0.5000
# Theoretical density, g/cm3: 4.3
# Energy, eV per atom: -6.1096
# Total moment, Bohr magnetons per cell: 1.58
# Fermi-level density of states, states/eV/f.u.: 5.75
# Excess energy over the best structure of this formula in the dataset, eV per atom: 0.000

Entry 2:
# Mg2PPd4, relaxed, DFT GGA-PBE
data_Mg2PPd4
_chemical_formula_sum 'Mg4 P2 Pd8'
_symmetry_space_group_name_H-M 'P 1'
_symmetry_Int_Tables_number 1
_symmetry_space_group_name_Hall 'P 1'
_cell_length_a 4.4422
_cell_length_b 4.4422
_cell_length_c 13.5556
_cell_angle_alpha 90.00
_cell_angle_beta 90.00
_cell_angle_gamma 90.00
loop_
_atom_site_label
_atom_site_fract_x
_atom_site_fract_y
_atom_site_fract_z
Mg1 0.0000 0.0000 0.1346
Mg2 0.0000 0.0000 0.8654
Mg3 0.5000 0.5000 0.3654
Mg4 0.5000 0.5000 0.6346
P1 0.0000 0.0000 0.5000
P2 0.5000 0.5000 0.0000
Pd1 0.0000 0.0000 0.3295
Pd2 0.0000 0.0000 0.6705
Pd3 0.0000 0.5000 0.0000
Pd4 0.0000 0.5000 0.5000
Pd5 0.5000 0.0000 0.0000
Pd6 0.5000 0.0000 0.5000
Pd7 0.5000 0.5000 0.1705
Pd8 0.5000 0.5000 0.8295
# Theoretical density, g/cm3: 6.3
# Energy, eV per atom: -4.4908
# Total moment, Bohr magnetons per cell: 0.00
# Fermi-level density of states, states/eV/f.u.: 3.41
# Formation energy from the elements, eV/atom: -0.295

Entry 3:
# NaIn2S, relaxed, DFT GGA-PBE
data_NaIn2S
_chemical_formula_sum 'Na3 In6 S3'
_symmetry_space_group_name_H-M 'P 1'
_symmetry_Int_Tables_number 1
_symmetry_space_group_name_Hall 'P 1'
_cell_length_a 3.7388
_cell_length_b 3.7388
_cell_length_c 29.4734
_cell_angle_alpha 90.00
_cell_angle_beta 90.00
_cell_angle_gamma 120.00
loop_
_atom_site_label
_atom_site_fract_x
_atom_site_fract_y
_atom_site_fract_z
Na1 0.0000 0.0000 0.0000
Na2 0.3333 0.6667 0.6667
Na3 0.6667 0.3333 0.3333
In1 0.0000 0.0000 0.1056
In2 0.0000 0.0000 0.8944
In3 0.3333 0.6667 0.5611
In4 0.3333 0.6667 0.7723
In5 0.6667 0.3333 0.2277
In6 0.6667 0.3333 0.4389
S1 0.0000 0.0000 0.5000
S2 0.3333 0.6667 0.1667
S3 0.6667 0.3333 0.8333
# Theoretical density, g/cm3: 4.0
# Energy, eV per atom: -2.9178
# Total moment, Bohr magnetons per cell: 0.00
# Fermi-level density of states, states/eV/f.u.: 2.33

Entry 4:
# KAgSnTe2, relaxed, DFT GGA-PBE
data_KAgSnTe2
_chemical_formula_sum 'K1 Ag1 Sn1 Te2'
_symmetry_space_group_name_H-M 'P 1'
_symmetry_Int_Tables_number 1
_symmetry_space_group_name_Hall 'P 1'
_cell_length_a 5.7831
_cell_length_b 5.7831
_cell_length_c 6.3828
_cell_angle_alpha 90.00
_cell_angle_beta 90.00
_cell_angle_gamma 90.00
loop_
_atom_site_label
_atom_site_fract_x
_atom_site_fract_y
_atom_site_fract_z
K1 0.0000 0.0000 0.0000
Ag1 0.5000 0.5000 0.0000
Sn1 0.0000 0.0000 0.5000
Te1 0.0000 0.5000 0.5000
Te2 0.5000 0.0000 0.5000
# Theoretical density, g/cm3: 4.1
# Energy, eV per atom: -2.5052
# Total moment, Bohr magnetons per cell: 0.00
# Fermi-level density of states, states/eV/f.u.: 5.07
# Excess energy over the best structure of this formula in the dataset, eV per atom: 0.781

- Which of these has the lowest Fermi-level density of states?
  NaIn2S

Please write out number 3 again, unchanged.
# NaIn2S, relaxed, DFT GGA-PBE
data_NaIn2S
_chemical_formula_sum 'Na3 In6 S3'
_symmetry_space_group_name_H-M 'P 1'
_symmetry_Int_Tables_number 1
_symmetry_space_group_name_Hall 'P 1'
_cell_length_a 3.7388
_cell_length_b 3.7388
_cell_length_c 29.4734
_cell_angle_alpha 90.00
_cell_angle_beta 90.00
_cell_angle_gamma 120.00
loop_
_atom_site_label
_atom_site_fract_x
_atom_site_fract_y
_atom_site_fract_z
Na1 0.0000 0.0000 0.0000
Na2 0.3333 0.6667 0.6667
Na3 0.6667 0.3333 0.3333
In1 0.0000 0.0000 0.1056
In2 0.0000 0.0000 0.8944
In3 0.3333 0.6667 0.5611
In4 0.3333 0.6667 0.7723
In5 0.6667 0.3333 0.2277
In6 0.6667 0.3333 0.4389
S1 0.0000 0.0000 0.5000
S2 0.3333 0.6667 0.1667
S3 0.6667 0.3333 0.8333
# Theoretical density, g/cm3: 4.0
# Energy, eV per atom: -2.9178
# Total moment, Bohr magnetons per cell: 0.00
# Fermi-level density of states, states/eV/f.u.: 2.33

Please write out number 1 again, unchanged.
# Sc4Ge2H, relaxed, DFT GGA-PBE
data_Sc4Ge2H
_chemical_formula_sum 'Sc8 Ge4 H2'
_symmetry_space_group_name_H-M 'P 1'
_symmetry_Int_Tables_number 1
_symmetry_space_group_name_Hall 'P 1'
_cell_length_a 4.1145
_cell_length_b 4.1145
_cell_length_c 14.8537
_cell_angle_alpha 90.00
_cell_angle_beta 90.00
_cell_angle_gamma 90.00
loop_
_atom_site_label
_atom_site_fract_x
_atom_site_fract_y
_atom_site_fract_z
Sc1 0.0000 0.0000 0.1782
Sc2 0.0000 0.0000 0.8218
Sc3 0.0000 0.5000 0.0000
Sc4 0.0000 0.5000 0.5000
Sc5 0.5000 0.0000 0.0000
Sc6 0.5000 0.0000 0.5000
Sc7 0.5000 0.5000 0.3218
Sc8 0.5000 0.5000 0.6782
Ge1 0.0000 0.0000 0.3642
Ge2 0.0000 0.0000 0.6358
Ge3 0.5000 0.5000 0.1358
Ge4 0.5000 0.5000 0.8642
H1 0.0000 0.0000 0.0000
H2 0.5000 0.5000 0.5000
# Theoretical density, g/cm3: 4.3
# Energy, eV per atom: -6.1096
# Total moment, Bohr magnetons per cell: 1.58
# Fermi-level density of states, states/eV/f.u.: 5.75
# Excess energy over the best structure of this formula in the dataset, eV per atom: 0.000

- The highest Fermi-level density of states belongs to which entry?
  Sc4Ge2H